VASP calculation (PBE with a Hubbard U) on a relaxed Al9CrB2O18 crystal.

The structure in POSCAR format:
```
Al9CrB2O18
1.0
-3.1307 1.1493 4.7225
-6.5097 -1.6615 -3.9364
2.1393 -7.8492 -0.1867
Al O B Cr
9 18 2 1
direct
0.6333 0.9982 0.7699
0.7431 0.8167 0.4909
0.2992 0.6654 0.5965
0.5512 0.8171 0.1135
0.2609 0.3141 0.5118
0.4410 0.3116 0.8831
0.1359 0.9977 0.7670
0.3676 0.4980 0.2315
0.7046 0.1642 0.4086
0.6450 0.9622 0.2970
0.6574 0.6352 0.3375
0.0561 0.4010 0.0911
0.9410 0.2904 0.3865
0.3530 0.4614 0.7043
0.0659 0.7977 0.6168
0.3359 0.1319 0.6646
0.2529 0.7157 0.0961
0.9532 0.9061 0.9054
0.2054 0.5615 0.3874
0.8337 0.7213 0.0939
0.5531 0.7988 0.6220
0.8088 0.0593 0.6174
0.4528 0.2981 0.3826
0.7435 0.2138 0.9041
0.1583 0.2110 0.8986
0.4523 0.9265 0.9089
0.5303 0.4246 0.0852
0.9859 0.2749 0.9663
0.0140 0.7806 0.0305
0.8647 0.5000 0.2307
```

Summary:
Spin magnetization (μB/f.u.): 3.00
Total DFT energy (no corrections) (eV/atom): -7.6485